[1]
The following is a PBE-GGA calculation of a relaxed structure of CoAgHgGe, from OQMD via LeMat-Bulk.

Cell lengths 6.471, 6.471, 6.471 Å; angles 90.00, 90.00, 90.00 degrees
Fractional positions:
Co1 0.000 0.000 0.000
Co2 0.000 0.500 0.500
Co3 0.500 0.000 0.500
Co4 0.500 0.500 0.000
Ag1 0.000 0.000 0.500
Ag2 0.000 0.500 0.000
Ag3 0.500 0.000 0.000
Ag4 0.500 0.500 0.500
Hg1 0.250 0.250 0.250
Hg2 0.250 0.750 0.750
Hg3 0.750 0.250 0.750
Hg4 0.750 0.750 0.250
Ge1 0.250 0.250 0.750
Ge2 0.250 0.750 0.250
Ge3 0.750 0.250 0.250
Ge4 0.750 0.750 0.750

symmetry	F-43m
distance to the lowest polymorph of the same formula	0	meV/atom


[2]
The following is a PBE-GGA calculation of a relaxed structure of LiCoAgGe, from OQMD via LeMat-Bulk.

Cell lengths 6.026, 6.026, 6.026 Å; angles 90.00, 90.00, 90.00 degrees
Fractional positions:
Li1 0.000 0.000 0.000
Li2 0.000 0.500 0.500
Li3 0.500 0.000 0.500
Li4 0.500 0.500 0.000
Co1 0.000 0.000 0.500
Co2 0.000 0.500 0.000
Co3 0.500 0.000 0.000
Co4 0.500 0.500 0.500
Ag1 0.250 0.250 0.750
Ag2 0.250 0.750 0.250
Ag3 0.750 0.250 0.250
Ag4 0.750 0.750 0.750
Ge1 0.250 0.250 0.250
Ge2 0.250 0.750 0.750
Ge3 0.750 0.250 0.750
Ge4 0.750 0.750 0.250

symmetry	F-43m
distance to the lowest polymorph of the same formula	0	meV/atom


[3]
The following is a PBE-GGA calculation of a relaxed structure of LiCoAgGe, from OQMD via LeMat-Bulk.

Cell lengths 6.026, 6.026, 6.026 Å; angles 90.00, 90.00, 90.00 degrees
Fractional positions:
Li1 0.000 0.000 0.000
Li2 0.000 0.500 0.500
Li3 0.500 0.000 0.500
Li4 0.500 0.500 0.000
Co1 0.250 0.250 0.750
Co2 0.250 0.750 0.250
Co3 0.750 0.250 0.250
Co4 0.750 0.750 0.750
Ag1 0.250 0.250 0.250
Ag2 0.250 0.750 0.750
Ag3 0.750 0.250 0.750
Ag4 0.750 0.750 0.250
Ge1 0.000 0.000 0.500
Ge2 0.000 0.500 0.000
Ge3 0.500 0.000 0.000
Ge4 0.500 0.500 0.500

symmetry	F-43m
distance to the lowest polymorph of the same formula	29	meV/atom


[4]
The following is a PBE-GGA calculation of a relaxed structure of CoAgGePd, from OQMD via LeMat-Bulk.

Cell lengths 6.173, 6.173, 6.173 Å; angles 90.00, 90.00, 90.00 degrees
Fractional positions:
Co1 0.000 0.000 0.000
Co2 0.000 0.500 0.500
Co3 0.500 0.000 0.500
Co4 0.500 0.500 0.000
Ag1 0.250 0.250 0.250
Ag2 0.250 0.750 0.750
Ag3 0.750 0.250 0.750
Ag4 0.750 0.750 0.250
Ge1 0.250 0.250 0.750
Ge2 0.250 0.750 0.250
Ge3 0.750 0.250 0.250
Ge4 0.750 0.750 0.750
Pd1 0.000 0.000 0.500
Pd2 0.000 0.500 0.000
Pd3 0.500 0.000 0.000
Pd4 0.500 0.500 0.500

symmetry	F-43m
distance to the lowest polymorph of the same formula	0	meV/atom